1.
Crystalline Ce4Bi2AsSe at its relaxed geometry. Source: Alexandria, functional PBE.

Cell lengths 7.571, 4.376, 7.709 Å; angles 90.00, 109.14, 90.00 degrees
Atoms (fractional coordinates):
Ce  0.239  0.000  0.225
Ce  0.255  0.500  0.774
Ce  0.745  0.500  0.226
Ce  0.761  0.000  0.775
Bi  0.000  0.000  0.500
Bi  0.500  0.500  0.500
As  0.000  0.500  0.000
Se  0.500  0.000  0.000

## Properties
**Formation energy from raw total energies**: -1.188 eV/atom
**SG**: P2/m, No. 10

2.
Crystalline BaSrP at its relaxed geometry. Source: Alexandria, functional PBE.

Cell lengths 7.801, 4.552, 7.892 Å; angles 90.00, 91.90, 90.00 degrees
Atoms (fractional coordinates):
Ba  0.219  0.250  0.095
Ba  0.781  0.750  0.905
Sr  0.203  0.750  0.586
Sr  0.797  0.250  0.414
P  0.006  0.250  0.746
P  0.994  0.750  0.254

## Properties
**Distance to the lowest polymorph of the same formula**: 0 meV/atom
**SG**: P2_1/m, No. 11
**ΔH_f (0 K)**: -0.836 eV/atom